Compound: LaPrDySc
Source: Alexandria via LeMat-Bulk
Functional: GGA-PBE
Structure: optimized geometry

```
LaPrDySc
1.0
8.023 0.000 0.000
0.000 8.023 0.000
0.000 0.000 8.023
La Pr Dy Sc
4 4 4 4
direct
0.000 0.000 0.000 La
0.000 0.500 0.500 La
0.500 0.000 0.500 La
0.500 0.500 0.000 La
0.000 0.000 0.500 Pr
0.000 0.500 0.000 Pr
0.500 0.000 0.000 Pr
0.500 0.500 0.500 Pr
0.250 0.250 0.750 Dy
0.250 0.750 0.250 Dy
0.750 0.250 0.250 Dy
0.750 0.750 0.750 Dy
0.250 0.250 0.250 Sc
0.250 0.750 0.750 Sc
0.750 0.250 0.750 Sc
0.750 0.750 0.250 Sc
```

Calculated values
total magnetization: 0.00 μB per cell
E: -81.10 eV for the cell shown
N(E_F): 26.7 states/eV per cell